No. 1
# HfTi3Rh6

Crystalline HfTi3Rh6 at its relaxed geometry (GGA-PBE, Alexandria via LeMat-Bulk).

Cell: 4.103 8.200 9.110 Å, 96.42 90.00 90.00°
Fractional positions:
Hf  0.250  0.939  0.621
Hf  0.750  0.061  0.379
Ti  0.250  0.561  0.396
Ti  0.750  0.439  0.604
Ti  0.250  0.338  0.823
Ti  0.750  0.662  0.177
Ti  0.250  0.755  0.954
Ti  0.750  0.245  0.046
Rh  0.250  0.473  0.106
Rh  0.750  0.527  0.894
Rh  0.250  0.160  0.209
Rh  0.750  0.840  0.791
Rh  0.250  0.612  0.682
Rh  0.750  0.388  0.318
Rh  0.250  0.263  0.515
Rh  0.750  0.737  0.485
Rh  0.250  0.833  0.278
Rh  0.750  0.167  0.722
Rh  0.250  0.063  0.913
Rh  0.750  0.937  0.087

Formation energy in eV/f.u.: -8.03
Symmetry: P2_1/m
Calculated total energy in eV/atom: -8.58

=====

No. 2
# CoTc3N

Crystalline CoTc3N at its relaxed geometry (GGA-PBE, Alexandria via LeMat-Bulk).

Cell: 3.989 3.989 3.989 Å, 90.00 90.00 90.00°
Fractional positions:
Co  0.500  0.500  0.500
Tc  0.000  0.500  0.000
Tc  0.000  0.000  0.500
Tc  0.500  0.000  0.000
N  0.000  0.000  0.000

Symmetry: Pm-3m
Calculated total energy in eV/atom: -9.16

=====

No. 3
# SmEuMgGe

Crystalline SmEuMgGe at its relaxed geometry (GGA-PBE, Alexandria via LeMat-Bulk).

Cell: 5.296 5.296 5.296 Å, 60.00 60.00 60.00°
Fractional positions:
Eu  0.000  0.000  0.000
Ge  0.250  0.250  0.250
Mg  0.750  0.750  0.750
Sm  0.500  0.500  0.500

Formation energy in eV/f.u.: -1.39
Symmetry: F-43m
Calculated total energy in eV/atom: -5.65

=====

No. 4
# HfNbNi2Sb

Crystalline HfNbNi2Sb at its relaxed geometry (GGA-PBE, Alexandria via LeMat-Bulk).

Cell: 4.515 5.106 4.515 Å, 90.00 90.00 90.00°
Fractional positions:
Sb  0.000  0.000  0.000
Nb  0.000  0.500  0.000
Hf  0.500  0.500  0.500
Ni  0.000  0.000  0.500
Ni  0.500  0.000  0.000

Symmetry: P4/mmm
Calculated total energy in eV/atom: -6.37

=====

No. 5
# Tl2TePb

Crystalline Tl2TePb at its relaxed geometry (GGA-PBE, Alexandria via LeMat-Bulk).

Cell: 4.278 4.278 7.208 Å, 90.00 90.00 90.00°
Fractional positions:
Pb  0.000  0.000  0.532
Te  0.500  0.500  0.717
Tl  0.000  0.000  0.001
Tl  0.500  0.500  0.250

Symmetry: P4mm
Calculated total energy in eV/atom: -3.02

=====

No. 6
# Nb3OsS

Crystalline Nb3OsS at its relaxed geometry (GGA-PBE, Alexandria via LeMat-Bulk).

Cell: 4.876 4.876 4.876 Å, 90.00 90.00 90.00°
Fractional positions:
Nb  0.000  0.500  0.000
Nb  0.000  0.000  0.500
Nb  0.500  0.000  0.000
Os  0.000  0.000  0.000
S  0.500  0.500  0.500

Symmetry: Pm-3m
Calculated total energy in eV/atom: -7.95

=====

No. 7
# Gd2MnGa

Crystalline Gd2MnGa at its relaxed geometry (GGA-PBE, Alexandria via LeMat-Bulk).

Cell: 3.596 3.596 7.168 Å, 90.00 90.00 90.00°
Fractional positions:
Mn  0.500  0.500  0.500
Gd  0.000  0.000  0.745
Gd  0.000  0.000  0.255
Ga  0.500  0.500  0.000

Formation energy in eV/f.u.: -0.81
Symmetry: P4/mmm
Calculated total energy in eV/atom: -10.29

=====

No. 8
# NdSi3Os2

Crystalline NdSi3Os2 at its relaxed geometry (GGA-PBE, Alexandria via LeMat-Bulk).

Cell: 5.636 6.085 6.085 Å, 103.84 90.00 90.00°
Fractional positions:
Nd  0.250  0.339  0.339
Nd  0.750  0.661  0.661
Si  0.750  0.466  0.107
Si  0.750  0.107  0.466
Si  0.250  0.534  0.893
Si  0.750  0.064  0.064
Si  0.250  0.936  0.936
Si  0.250  0.893  0.534
Os  0.500  0.797  0.203
Os  0.000  0.797  0.203
Os  0.000  0.203  0.797
Os  0.500  0.203  0.797

Symmetry: Cmcm
Calculated total energy in eV/atom: -7.76